Entry 1:
VASP calculation (GGA-PBE) on a relaxed structure of AgS2Br.

energy relative to the lowest polymorph listed for this composition: 0.000 kcal/mol of atoms
symmetry: P4/nmm
energy relative to the elements, uncorrected: 0.17 eV/atom
spin magnetization: 0.00 Bohr magnetons per cell
calculated total energy: -3.026 eV/atom

```
data_AgS2Br
_cell_length_a 3.4825
_cell_length_b 3.4825
_cell_length_c 15.6691
_cell_angle_alpha 90.00
_cell_angle_beta 90.00
_cell_angle_gamma 90.00
_space_group_name_H-M_alt 'P 1'
_space_group_IT_number 1
loop_
_space_group_symop_operation_xyz
'x,y,z'
loop_
_atom_site_label
_atom_site_type_symbol
_atom_site_fract_x
_atom_site_fract_y
_atom_site_fract_z
Ag1 Ag 0.2500 0.2500 0.1999
Ag2 Ag 0.7500 0.7500 0.8001
S1 S 0.2500 0.2500 0.3612
S2 S 0.2500 0.2500 0.6218
S3 S 0.7500 0.7500 0.3782
S4 S 0.7500 0.7500 0.6388
Br1 Br 0.2500 0.2500 0.8823
Br2 Br 0.7500 0.7500 0.1177
```

Entry 2:
VASP calculation (GGA-PBE) on a relaxed structure of RbLi2PbCl8.

symmetry: P-1
energy relative to the elements, uncorrected: -1.12 eV/atom
spin magnetization: 0.22 Bohr magnetons per cell
calculated total energy: -3.062 eV/atom

```
data_RbLi2PbCl8
_cell_length_a 5.6615
_cell_length_b 6.4955
_cell_length_c 9.3794
_cell_angle_alpha 94.26
_cell_angle_beta 107.14
_cell_angle_gamma 90.13
_space_group_name_H-M_alt 'P 1'
_space_group_IT_number 1
loop_
_space_group_symop_operation_xyz
'x,y,z'
loop_
_atom_site_label
_atom_site_type_symbol
_atom_site_fract_x
_atom_site_fract_y
_atom_site_fract_z
Rb1 Rb 0.0000 0.0000 0.0000
Li1 Li 0.4646 0.4656 0.2973
Li2 Li 0.5354 0.5344 0.7027
Pb1 Pb 0.0000 0.0000 0.5000
Cl1 Cl 0.1526 0.7897 0.3098
Cl2 Cl 0.2572 0.3301 0.4843
Cl3 Cl 0.2675 0.4985 0.0218
Cl4 Cl 0.3353 0.8701 0.7324
Cl5 Cl 0.6647 0.1299 0.2676
Cl6 Cl 0.7325 0.5015 0.9782
Cl7 Cl 0.7428 0.6699 0.5157
Cl8 Cl 0.8474 0.2103 0.6902
```

Entry 3:
VASP calculation (GGA-PBE) on a relaxed structure of Pm2TmSn.

energy relative to the lowest polymorph listed for this composition: 0.000 kcal/mol of atoms
symmetry: P4/mmm
DFT formation energy: -0.4257 eV per atom
spin magnetization: 0.00 Bohr magnetons per cell
calculated total energy: -4.920 eV/atom

```
data_Pm2TmSn
_cell_length_a 4.8387
_cell_length_b 4.8387
_cell_length_c 4.9223
_cell_angle_alpha 90.00
_cell_angle_beta 90.00
_cell_angle_gamma 90.00
_space_group_name_H-M_alt 'P 1'
_space_group_IT_number 1
loop_
_space_group_symop_operation_xyz
'x,y,z'
loop_
_atom_site_label
_atom_site_type_symbol
_atom_site_fract_x
_atom_site_fract_y
_atom_site_fract_z
Pm1 Pm 0.0000 0.5000 0.0000
Pm2 Pm 0.5000 0.0000 0.0000
Tm1 Tm 0.0000 0.0000 0.5000
Sn1 Sn 0.5000 0.5000 0.5000
```

Entry 4:
VASP calculation (GGA-PBE) on a relaxed structure of Cs4AgHg3F12.

symmetry: Im-3m
energy relative to the elements, uncorrected: -1.96 eV/atom
spin magnetization: 0.39 Bohr magnetons per cell
calculated total energy: -3.442 eV/atom

```
data_Cs4AgHg3F12
_cell_length_a 8.0219
_cell_length_b 8.0219
_cell_length_c 8.0219
_cell_angle_alpha 109.47
_cell_angle_beta 109.47
_cell_angle_gamma 109.47
_space_group_name_H-M_alt 'P 1'
_space_group_IT_number 1
loop_
_space_group_symop_operation_xyz
'x,y,z'
loop_
_atom_site_label
_atom_site_type_symbol
_atom_site_fract_x
_atom_site_fract_y
_atom_site_fract_z
Cs1 Cs 0.0000 0.0000 0.5000
Cs2 Cs 0.0000 0.5000 0.0000
Cs3 Cs 0.5000 0.0000 0.0000
Cs4 Cs 0.5000 0.5000 0.5000
Ag1 Ag 0.0000 0.0000 0.0000
Hg1 Hg 0.0000 0.5000 0.5000
Hg2 Hg 0.5000 0.0000 0.5000
Hg3 Hg 0.5000 0.5000 0.0000
F1 F 0.0000 0.2509 0.2509
F2 F 0.0000 0.7491 0.7491
F3 F 0.2500 0.5000 0.7500
F4 F 0.2500 0.7500 0.5000
F5 F 0.2509 0.0000 0.2509
F6 F 0.2509 0.2509 0.0000
F7 F 0.5000 0.2500 0.7500
F8 F 0.5000 0.7500 0.2500
F9 F 0.7491 0.0000 0.7491
F10 F 0.7491 0.7491 0.0000
F11 F 0.7500 0.2500 0.5000
F12 F 0.7500 0.5000 0.2500
```

Entry 5:
VASP calculation (GGA-PBE) on a relaxed structure of TlNi2Ir.

energy relative to the lowest polymorph listed for this composition: 1.456 kcal/mol of atoms
symmetry: C2/m
DFT formation energy: 0.3578 eV per atom
spin magnetization: 0.71 Bohr magnetons per cell
calculated total energy: -5.340 eV/atom

```
data_TlNi2Ir
_cell_length_a 4.5262
_cell_length_b 4.5262
_cell_length_c 4.9282
_cell_angle_alpha 100.29
_cell_angle_beta 100.29
_cell_angle_gamma 37.77
_space_group_name_H-M_alt 'P 1'
_space_group_IT_number 1
loop_
_space_group_symop_operation_xyz
'x,y,z'
loop_
_atom_site_label
_atom_site_type_symbol
_atom_site_fract_x
_atom_site_fract_y
_atom_site_fract_z
Tl1 Tl 0.0000 0.0000 0.0000
Ni1 Ni 0.2422 0.2422 0.7047
Ni2 Ni 0.7578 0.7578 0.2953
Ir1 Ir 0.5000 0.5000 0.5000
```

Entry 6:
VASP calculation (GGA-PBE) on a relaxed structure of TiNb4W5.

energy relative to the lowest polymorph listed for this composition: 0.000 kcal/mol of atoms
symmetry: P4/mmm
DFT formation energy: -0.0174 eV per atom
spin magnetization: 0.00 Bohr magnetons per cell
calculated total energy: -11.311 eV/atom

```
data_TiNb4W5
_cell_length_a 3.2333
_cell_length_b 3.2333
_cell_length_c 16.1218
_cell_angle_alpha 90.00
_cell_angle_beta 90.00
_cell_angle_gamma 90.00
_space_group_name_H-M_alt 'P 1'
_space_group_IT_number 1
loop_
_space_group_symop_operation_xyz
'x,y,z'
loop_
_atom_site_label
_atom_site_type_symbol
_atom_site_fract_x
_atom_site_fract_y
_atom_site_fract_z
Ti1 Ti 0.0000 0.0000 0.0000
Nb1 Nb 0.0000 0.0000 0.1972
Nb2 Nb 0.0000 0.0000 0.3992
Nb3 Nb 0.0000 0.0000 0.6008
Nb4 Nb 0.0000 0.0000 0.8028
W1 W 0.5000 0.5000 0.0976
W2 W 0.5000 0.5000 0.2983
W3 W 0.5000 0.5000 0.5000
W4 W 0.5000 0.5000 0.7017
W5 W 0.5000 0.5000 0.9024
```